# 1
Entry from the Alexandria database: a relaxed Al2PdAu6 crystal (PBE).

```
9
Lattice="6.4554 -1.8420 0.0000 6.4554 1.8420 0.0000 -1.9751 0.0000 6.4471" Properties=species:S:1:pos:R:3 pbc="T T T"
Al 0.0485 0.0000 1.9737
Al 10.8873 0.0000 4.4734
Pd 6.4554 0.0000 0.0000
Au 0.1741 0.0000 6.4106
Au 2.4776 0.0000 4.2905
Au 4.4796 0.0000 2.2324
Au 6.4562 0.0000 4.2147
Au 8.4582 0.0000 2.1566
Au 10.7617 0.0000 0.0365
```

The space group is No. 12. The energy relative to the lowest polymorph listed for this composition is 3.7 meV/atom. As for the total energy: -3.873 eV/atom. The density is 14.54 Mg/m³. As for the crystal system: monoclinic. As for the formation enthalpy at 0 K: -279 meV per atom.

=====

# 2
Entry from the Alexandria database: a relaxed Al3PdAu3 crystal (PBE).

```
7
Lattice="3.9882 2.3026 2.1795 -3.9882 2.3026 2.1795 0.0000 -4.6051 2.1795" Properties=species:S:1:pos:R:3 pbc="T T T"
Al 0.0000 -2.0603 2.1795
Al -1.7843 1.0302 2.1795
Al 1.7843 1.0302 2.1795
Pd 0.0000 0.0000 0.6247
Au 0.0000 -1.7370 4.8491
Au -1.5043 0.8685 4.8491
Au 1.5043 0.8685 4.8491
```

The space group is No. 160. As for the total energy: -4.127 eV/atom. The density is 10.76 Mg/m³. As for the crystal system: trigonal. As for the formation enthalpy at 0 K: -376 meV per atom.

=====

# 3
Entry from the Alexandria database: a relaxed AlPdAu crystal (PBE).

```
3
Lattice="4.2981 0.0000 0.0000 -2.1490 3.7222 0.0000 0.0000 0.0000 3.0053" Properties=species:S:1:pos:R:3 pbc="T T T"
Al 0.0000 0.0000 0.0000
Pd 0.0000 2.4815 0.6764
Au 2.1490 1.2407 2.1124
```

The space group is No. 156. The energy relative to the lowest polymorph listed for this composition is 59.2 meV/atom. As for the total energy: -4.581 eV/atom. The density is 11.41 Mg/m³. As for the crystal system: trigonal. As for the formation enthalpy at 0 K: -510 meV per atom.

=====

# 4
Entry from the Alexandria database: a relaxed AlPdAu6 crystal (PBE).

```
16
Lattice="3.8542 0.0000 0.0000 0.0000 8.3790 0.0000 0.0000 0.0000 8.5737" Properties=species:S:1:pos:R:3 pbc="T T T"
Al 0.0000 0.0000 0.0000
Al 0.0000 4.1895 4.2869
Pd 1.9271 0.0000 1.8306
Pd 1.9271 4.1895 6.1175
Au 0.0000 0.0000 4.0563
Au 0.0000 2.0871 1.9493
Au 0.0000 2.1024 6.2362
Au 0.0000 4.1895 8.3431
Au 0.0000 6.2765 6.2362
Au 0.0000 6.2919 1.9493
Au 1.9271 0.0000 6.3215
Au 1.9271 2.0089 8.3734
Au 1.9271 2.1806 4.0866
Au 1.9271 4.1895 2.0346
Au 1.9271 6.1983 4.0866
Au 1.9271 6.3701 8.3734
```

The space group is No. 38. The energy relative to the lowest polymorph listed for this composition is 0.0 meV/atom. As for the total energy: -3.757 eV/atom. The density is 15.78 Mg/m³. As for the crystal system: orthorhombic. As for the formation enthalpy at 0 K: -182 meV per atom.

=====

# 5
Entry from the Alexandria database: a relaxed Al4PdAu12 crystal (PBE).

```
17
Lattice="-4.4217 4.4217 4.4217 4.4217 -4.4217 4.4217 4.4217 4.4217 -4.4217" Properties=species:S:1:pos:R:3 pbc="T T T"
Al 2.2109 2.2109 -2.2109
Al 2.2109 -2.2109 2.2109
Al -2.2109 2.2109 2.2109
Al 2.2109 2.2109 2.2109
Pd 0.0000 0.0000 0.0000
Au 3.0279 0.0000 1.3812
Au 5.8155 0.0000 1.3812
Au 4.4217 3.0405 -1.3938
Au 1.3812 3.0279 0.0000
Au 3.0405 -1.3938 4.4217
Au 0.0000 1.3812 3.0279
Au 4.4217 3.0405 1.3938
Au 1.3812 5.8155 0.0000
Au 3.0405 1.3938 4.4217
Au 0.0000 1.3812 5.8155
Au -1.3938 4.4217 3.0405
Au 1.3938 4.4217 3.0405
```

The space group is No. 204. As for the total energy: -3.447 eV/atom. The density is 12.38 Mg/m³. As for the crystal system: cubic. As for the formation enthalpy at 0 K: 52 meV per atom.

=====

# 6
Entry from the Alexandria database: a relaxed AlPd12Au3 crystal (PBE).

```
16
Lattice="4.0017 0.0000 0.0000 0.0000 4.0017 0.0000 0.0000 0.0000 15.7378" Properties=species:S:1:pos:R:3 pbc="T T T"
Al 0.0000 0.0000 0.0000
Pd 0.0000 2.0008 1.8373
Pd 0.0000 2.0008 5.8650
Pd 0.0000 2.0008 9.8728
Pd 0.0000 2.0008 13.9005
Pd 2.0008 0.0000 1.8373
Pd 2.0008 0.0000 5.8650
Pd 2.0008 0.0000 9.8728
Pd 2.0008 0.0000 13.9005
Pd 2.0008 2.0008 0.0000
Pd 2.0008 2.0008 3.8619
Pd 2.0008 2.0008 7.8689
Pd 2.0008 2.0008 11.8760
Au 0.0000 0.0000 3.8598
Au 0.0000 0.0000 7.8689
Au 0.0000 0.0000 11.8780
```

The space group is No. 123. As for the total energy: -4.932 eV/atom. The density is 12.49 Mg/m³. As for the crystal system: tetragonal. As for the formation enthalpy at 0 K: -189 meV per atom.

=====

# 7
Entry from the Alexandria database: a relaxed AlPdAu crystal (PBE).

```
6
Lattice="4.3962 0.0000 0.0000 -1.2794 4.8705 0.0000 -2.1485 -1.7547 4.4706" Properties=species:S:1:pos:R:3 pbc="T T T"
Al -0.6602 0.4065 1.7404
Al 1.6284 2.7092 2.7301
Pd -0.6317 3.0661 1.2839
Pd 1.6000 0.0496 3.1867
Au 1.5141 1.1299 0.5207
Au -0.5459 1.9858 3.9498
```

The space group is No. 2. The energy relative to the lowest polymorph listed for this composition is 24.1 meV/atom. As for the total energy: -4.616 eV/atom. The density is 11.46 Mg/m³. As for the crystal system: triclinic. As for the formation enthalpy at 0 K: -545 meV per atom.

=====

# 8
Entry from the Alexandria database: a relaxed AlPd3Au4 crystal (PBE).

```
16
Lattice="23.1180 0.0000 0.0000 0.0000 2.8768 0.0000 -0.7945 0.0000 4.2509" Properties=species:S:1:pos:R:3 pbc="T T T"
Al 0.0000 0.0000 0.0000
Al 11.5590 1.4384 0.0000
Pd -0.3972 1.4384 2.1254
Pd 3.2576 1.4384 2.8194
Pd 7.5069 0.0000 1.4314
Pd 11.1618 0.0000 2.1254
Pd 14.8166 0.0000 2.8194
Pd 19.0659 1.4384 1.4314
Au 2.0682 1.4384 0.3968
Au 4.7667 0.0000 0.9046
Au 5.9979 1.4384 3.3462
Au 8.6963 0.0000 3.8541
Au 13.6272 0.0000 0.3968
Au 16.3257 1.4384 0.9046
Au 17.5569 0.0000 3.3462
Au 20.2554 1.4384 3.8541
```

The space group is No. 12. As for the total energy: -4.183 eV/atom. The density is 13.32 Mg/m³. As for the crystal system: monoclinic. As for the formation enthalpy at 0 K: -129 meV per atom.

=====

# 9
Entry from the Alexandria database: a relaxed AlPdAu crystal (PBE).

```
6
Lattice="4.3846 0.0000 0.0000 0.0000 4.3945 0.0000 -2.1855 0.0000 4.8963" Properties=species:S:1:pos:R:3 pbc="T T T"
Al 0.0027 1.0986 2.4352
Al 2.1964 3.2959 2.4611
Pd 0.0061 3.2959 1.0307
Pd 2.1930 1.0986 3.8656
Au 0.0001 3.2959 3.9539
Au 2.1990 1.0986 0.9424
```

The space group is No. 11. The energy relative to the lowest polymorph listed for this composition is 0.0 meV/atom. As for the total energy: -4.640 eV/atom. The density is 11.63 Mg/m³. As for the crystal system: monoclinic. As for the formation enthalpy at 0 K: -569 meV per atom.

=====

# 10
Entry from the Alexandria database: a relaxed Al2Pd7Au crystal (PBE).

```
10
Lattice="3.6343 -6.1144 0.0000 3.6343 6.1144 0.0000 0.0000 0.0000 4.3067" Properties=species:S:1:pos:R:3 pbc="T T T"
Al 3.6343 3.6963 0.0000
Al 3.6343 -3.6963 0.0000
Pd 0.0000 0.0000 0.0000
Pd 2.2619 1.4673 0.0000
Pd 3.6343 2.7047 2.1534
Pd 2.2619 -1.4673 0.0000
Pd 5.0068 1.4673 0.0000
Pd 3.6343 -2.7047 2.1534
Pd 5.0068 -1.4673 0.0000
Au 3.6343 0.0000 2.1534
```

The space group is No. 65. As for the total energy: -4.763 eV/atom. The density is 8.64 Mg/m³. As for the crystal system: orthorhombic. As for the formation enthalpy at 0 K: -52 meV per atom.

=====

# 11
Entry from the Alexandria database: a relaxed Al2PdAu2 crystal (PBE).

```
10
Lattice="3.8911 0.0000 0.0000 0.0000 3.8911 0.0000 0.0000 0.0000 11.8234" Properties=species:S:1:pos:R:3 pbc="T T T"
Al 0.0000 1.9456 2.9559
Al 0.0000 1.9456 8.8676
Al 1.9456 0.0000 2.9559
Al 1.9456 0.0000 8.8676
Pd 0.0000 0.0000 0.0000
Pd 1.9456 1.9456 5.9117
Au 0.0000 0.0000 4.5881
Au 0.0000 0.0000 7.2353
Au 1.9456 1.9456 1.3236
Au 1.9456 1.9456 10.4998
```

The space group is No. 139. The energy relative to the lowest polymorph listed for this composition is 291.6 meV/atom. As for the total energy: -4.057 eV/atom. The density is 10.28 Mg/m³. As for the crystal system: tetragonal. As for the formation enthalpy at 0 K: -211 meV per atom.

=====

# 12
Entry from the Alexandria database: a relaxed AlPd7Au4 crystal (PBE).

```
12
Lattice="4.8683 -2.3842 0.0000 4.8683 2.3842 0.0000 -3.4915 0.0000 8.9276" Properties=species:S:1:pos:R:3 pbc="T T T"
Al 0.0000 0.0000 0.0000
Pd 0.0166 0.0000 2.4964
Pd -1.2196 0.0000 8.2246
Pd 1.7406 0.0000 4.7136
Pd 4.8683 0.0000 0.0000
Pd 4.5046 0.0000 4.2140
Pd 7.4648 0.0000 0.7031
Pd 6.2286 0.0000 6.4313
Au -0.8155 0.0000 5.5203
Au 2.8989 0.0000 2.0281
Au 3.3463 0.0000 6.8996
Au 7.0607 0.0000 3.4074
```

The space group is No. 12. As for the total energy: -4.502 eV/atom. The density is 12.50 Mg/m³. As for the crystal system: monoclinic. As for the formation enthalpy at 0 K: -69 meV per atom.